(1)
VASP calculation (GGA-PBE) on an optimized crystal structure of HfInPO.

The structure in POSCAR format:
```
HfInPO
1.0
3.887 0.000 0.000
0.000 6.804 0.000
0.000 0.000 7.114
Hf In O P
2 2 2 2
direct
0.000 0.621 0.493
0.000 0.379 0.993
0.500 0.777 0.065
0.500 0.223 0.565
0.000 0.475 0.256
0.000 0.525 0.756
0.500 0.854 0.440
0.500 0.146 0.940
```

Summary:
Space-group type: Pmc2_1, No. 26
Relative energy among the computed polymorphs in eV/atom: 0.040

***

(2)
VASP calculation (GGA-PBE) on an optimized crystal structure of HfInPO.

The structure in POSCAR format:
```
HfInPO
1.0
-4.232 0.537 -0.821
0.794 -0.263 -4.263
-0.963 -7.192 0.264
Hf In O P
2 2 2 2
direct
0.000 0.000 0.500
0.500 0.500 0.500
0.000 0.500 0.112
0.500 0.000 0.888
0.000 0.000 0.000
0.500 0.500 0.000
0.500 0.000 0.315
0.000 0.500 0.685
```

Summary:
Space-group type: P4/nmm, No. 129
Relative energy among the computed polymorphs in eV/atom: 0.496

***

(3)
VASP calculation (GGA-PBE) on an optimized crystal structure of HfInPO.

The structure in POSCAR format:
```
HfInPO
1.0
-1.703 2.758 -2.127
1.771 -4.046 -6.664
-4.601 -2.577 0.342
Hf In O P
2 2 2 2
direct
0.000 0.138 0.432
0.000 0.862 0.932
0.500 0.602 0.464
0.500 0.398 0.964
0.500 0.197 0.429
0.500 0.803 0.929
0.000 0.819 0.429
0.000 0.181 0.929
```

Summary:
Space-group type: Pmc2_1, No. 26
Relative energy among the computed polymorphs in eV/atom: 0.000

***

(4)
VASP calculation (GGA-PBE) on an optimized crystal structure of HfInPO.

The structure in POSCAR format:
```
HfInPO
1.0
2.665 -2.665 0.000
2.665 2.665 0.000
0.000 0.000 9.972
Hf In O P
2 2 2 2
direct
0.000 0.000 0.117
0.500 0.500 0.883
0.500 0.000 0.500
0.000 0.500 0.500
0.500 0.000 0.000
0.000 0.500 0.000
0.500 0.500 0.248
0.000 0.000 0.752
```

Summary:
Space-group type: P4/nmm, No. 129
Relative energy among the computed polymorphs in eV/atom: 0.166

***

(5)
VASP calculation (GGA-PBE) on an optimized crystal structure of Hf3InP.

The structure in POSCAR format:
```
Hf3InP
1.0
-1.998 5.389 -2.339
0.760 -3.447 5.104
8.903 3.856 1.278
Hf In P
6 2 2
direct
0.358 0.642 0.050
0.039 0.961 0.250
0.358 0.642 0.450
0.642 0.358 0.550
0.961 0.039 0.750
0.642 0.358 0.950
0.742 0.258 0.250
0.258 0.742 0.750
0.000 0.000 0.000
0.000 0.000 0.500
```

Summary:
Space-group type: Cmcm, No. 63
Total energy in Ry/atom: -0.60138

***

(6)
VASP calculation (GGA-PBE) on an optimized crystal structure of HfPaIn.

The structure in POSCAR format:
```
HfPaIn
1.0
-0.393 -3.358 3.734
-2.801 -4.140 -0.621
2.219 -4.503 -0.418
Hf In Pa
1 1 1
direct
0.250 0.250 0.250
0.750 0.750 0.750
0.000 0.000 0.000
```

Summary:
Space-group type: F-43m, No. 216
Relative energy among the computed polymorphs in eV/atom: 0.396

***

(7)
VASP calculation (GGA-PBE) on an optimized crystal structure of HfPaIn.

The structure in POSCAR format:
```
HfPaIn
1.0
-1.302 -4.106 -2.447
-3.714 0.141 -3.275
0.953 -0.403 -4.845
Hf In Pa
1 1 1
direct
0.250 0.250 0.250
0.000 0.000 0.000
0.750 0.750 0.750
```

Summary:
Space-group type: F-43m, No. 216
Relative energy among the computed polymorphs in eV/atom: 0.000

***

(8)
VASP calculation (GGA-PBE) on an optimized crystal structure of Hf2In2Pb.

The structure in POSCAR format:
```
Hf2In2Pb
1.0
-2.110 2.110 6.696
2.110 -2.110 6.696
2.110 2.110 -6.696
Hf In Pb
2 2 1
direct
0.403 0.403 0.000
0.597 0.597 0.000
0.750 0.250 0.500
0.250 0.750 0.500
0.000 0.000 0.000
```

Summary:
Space-group type: I4/mmm, No. 139
Total energy in Ry/atom: -0.40332

***

(9)
VASP calculation (GGA-PBE) on an optimized crystal structure of Hf2InPb2.

The structure in POSCAR format:
```
Hf2InPb2
1.0
-2.380 2.380 6.309
2.380 -2.380 6.309
2.380 2.380 -6.309
Hf In Pb
2 1 2
direct
0.750 0.250 0.500
0.250 0.750 0.500
0.000 0.000 0.000
0.385 0.385 0.000
0.615 0.615 0.000
```

Summary:
Space-group type: I4/mmm, No. 139
Relative energy among the computed polymorphs in eV/atom: 0.000

***

(10)
VASP calculation (GGA-PBE) on an optimized crystal structure of Hf3InPb5.

The structure in POSCAR format:
```
Hf3InPb5
1.0
6.052 0.000 0.000
-3.026 5.242 0.000
0.000 0.000 8.089
Hf In Pb
3 1 5
direct
0.500 0.000 0.500
0.000 0.500 0.500
0.500 0.500 0.500
0.000 0.000 0.000
0.667 0.333 0.186
0.333 0.667 0.186
0.000 0.000 0.500
0.667 0.333 0.814
0.333 0.667 0.814
```

Summary:
Space-group type: P6/mmm, No. 191
Total energy in Ry/atom: -0.40391

***

(11)
VASP calculation (GGA-PBE) on an optimized crystal structure of HfIn2Pb.

The structure in POSCAR format:
```
HfIn2Pb
1.0
0.000 3.709 3.709
3.709 0.000 3.709
3.709 3.709 0.000
Hf In Pb
1 2 1
direct
0.500 0.500 0.500
0.000 0.000 0.000
0.250 0.250 0.250
0.750 0.750 0.750
```

Summary:
Space-group type: F-43m, No. 216
Total energy in Ry/atom: -0.32651

***

(12)
VASP calculation (GGA-PBE) on an optimized crystal structure of Hf2In2Pb.

The structure in POSCAR format:
```
Hf2In2Pb
1.0
-2.553 0.759 6.770
1.038 5.549 4.590
-1.847 -1.721 -6.823
Hf In Pb
2 2 1
direct
0.750 0.250 0.500
0.250 0.750 0.500
0.395 0.395 0.000
0.605 0.605 0.000
0.000 0.000 0.000
```

Summary:
Space-group type: I4/mmm, No. 139
Total energy in Ry/atom: -0.40334

***

Please write out number 12 again, unchanged.
VASP calculation (GGA-PBE) on an optimized crystal structure of Hf2In2Pb.

The structure in POSCAR format:
```
Hf2In2Pb
1.0
-2.553 0.759 6.770
1.038 5.549 4.590
-1.847 -1.721 -6.823
Hf In Pb
2 2 1
direct
0.750 0.250 0.500
0.250 0.750 0.500
0.395 0.395 0.000
0.605 0.605 0.000
0.000 0.000 0.000
```

Summary:
Space-group type: I4/mmm, No. 139
Total energy in Ry/atom: -0.40334